First-principles (PBE-GGA) data for TiIrN2 after structural relaxation, as listed in Alexandria.

Structure (CIF):
```
data_TiIrN2
_space_group_name_H-M_alt 'P 1'
_space_group_IT_number 1
_cell_length_a 4.539
_cell_length_b 4.539
_cell_length_c 9.559
_cell_angle_alpha 90.00
_cell_angle_beta 90.00
_cell_angle_gamma 90.00
loop_
_space_group_symop_operation_xyz
'x,y,z'
loop_
_atom_site_label
_atom_site_type_symbol
_atom_site_fract_x
_atom_site_fract_y
_atom_site_fract_z
_atom_site_occupancy
Ti1 Ti 0.000 0.000 0.000 1
Ti2 Ti 0.000 0.500 0.250 1
Ti3 Ti 0.500 0.000 0.750 1
Ti4 Ti 0.500 0.500 0.500 1
Ir1 Ir 0.000 0.000 0.500 1
Ir2 Ir 0.000 0.500 0.750 1
Ir3 Ir 0.500 0.000 0.250 1
Ir4 Ir 0.500 0.500 0.000 1
N1 N 0.236 0.250 0.125 1
N2 N 0.250 0.736 0.375 1
N3 N 0.250 0.764 0.875 1
N4 N 0.264 0.250 0.625 1
N5 N 0.736 0.750 0.625 1
N6 N 0.750 0.236 0.875 1
N7 N 0.750 0.264 0.375 1
N8 N 0.764 0.750 0.125 1
```

## Properties
ΔE_f (raw): -352 meV per atom
Space-group type: No. 122
Distance to the lowest polymorph of the same formula: 1 meV/atom


First-principles (PBE-GGA) data for Ti2IrN after structural relaxation, as listed in Alexandria.

Structure (CIF):
```
data_Ti2IrN
_space_group_name_H-M_alt 'P 1'
_space_group_IT_number 1
_cell_length_a 2.931
_cell_length_b 2.931
_cell_length_c 20.195
_cell_angle_alpha 90.00
_cell_angle_beta 90.00
_cell_angle_gamma 120.00
loop_
_space_group_symop_operation_xyz
'x,y,z'
loop_
_atom_site_label
_atom_site_type_symbol
_atom_site_fract_x
_atom_site_fract_y
_atom_site_fract_z
_atom_site_occupancy
Ti1 Ti 0.000 0.000 0.226 1
Ti2 Ti 0.000 0.000 0.774 1
Ti3 Ti 0.333 0.667 0.440 1
Ti4 Ti 0.333 0.667 0.893 1
Ti5 Ti 0.667 0.333 0.107 1
Ti6 Ti 0.667 0.333 0.560 1
Ir1 Ir 0.000 0.000 0.000 1
Ir2 Ir 0.333 0.667 0.667 1
Ir3 Ir 0.667 0.333 0.333 1
N1 N 0.000 0.000 0.500 1
N2 N 0.333 0.667 0.167 1
N3 N 0.667 0.333 0.833 1
```

## Properties
ΔE_f (raw): -1212 meV per atom
Space-group type: No. 166


First-principles (PBE-GGA) data for TiIrN3 after structural relaxation, as listed in Alexandria.

Structure (CIF):
```
data_TiIrN3
_space_group_name_H-M_alt 'P 1'
_space_group_IT_number 1
_cell_length_a 3.828
_cell_length_b 3.828
_cell_length_c 3.828
_cell_angle_alpha 90.00
_cell_angle_beta 90.00
_cell_angle_gamma 90.00
loop_
_space_group_symop_operation_xyz
'x,y,z'
loop_
_atom_site_label
_atom_site_type_symbol
_atom_site_fract_x
_atom_site_fract_y
_atom_site_fract_z
_atom_site_occupancy
Ti1 Ti 0.000 0.000 0.000 1
Ir1 Ir 0.500 0.500 0.500 1
N1 N 0.000 0.500 0.500 1
N2 N 0.500 0.000 0.500 1
N3 N 0.500 0.500 0.000 1
```

## Properties
ΔE_f (raw): 933 meV per atom
Space-group type: No. 221


First-principles (PBE-GGA) data for TiIr3N after structural relaxation, as listed in Alexandria.

Structure (CIF):
```
data_TiIr3N
_space_group_name_H-M_alt 'P 1'
_space_group_IT_number 1
_cell_length_a 4.094
_cell_length_b 4.094
_cell_length_c 4.094
_cell_angle_alpha 90.00
_cell_angle_beta 90.00
_cell_angle_gamma 90.00
loop_
_space_group_symop_operation_xyz
'x,y,z'
loop_
_atom_site_label
_atom_site_type_symbol
_atom_site_fract_x
_atom_site_fract_y
_atom_site_fract_z
_atom_site_occupancy
Ti1 Ti 0.000 0.000 0.000 1
Ir1 Ir 0.000 0.500 0.500 1
Ir2 Ir 0.500 0.000 0.500 1
Ir3 Ir 0.500 0.500 0.000 1
N1 N 0.500 0.500 0.500 1
```

## Properties
ΔE_f (raw): 212 meV per atom
Space-group type: No. 221
Distance to the lowest polymorph of the same formula: 0 meV/atom


- What is the formula in the third record?
  TiIrN3


- Number 3 is which compound?
  TiIrN3


- Number 2 is which compound?
  Ti2IrN